ScAlSe2: relaxed, PBE-GGA.

CIF file:
```
data_ScAlSe2
_symmetry_space_group_name_H-M 'P m m m'
_symmetry_Int_Tables_number 47
_symmetry_space_group_name_Hall '-P 2 2'
_cell_length_a 3.6607
_cell_length_b 3.8612
_cell_length_c 5.9467
_cell_angle_alpha 90.00
_cell_angle_beta 90.00
_cell_angle_gamma 90.00
loop_
_atom_site_label
_atom_site_fract_x
_atom_site_fract_y
_atom_site_fract_z
Sc1 0.0000 0.0000 0.0000
Al1 0.0000 0.5000 0.5000
Se1 0.5000 0.0000 0.5000
Se2 0.5000 0.5000 0.0000
```

Properties
Formation energy without anion corrections (kcal/mol of atoms): -17.302



Pr12Tl6Zn: relaxed, PBE-GGA.

CIF file:
```
data_Pr12Tl6Zn
_symmetry_space_group_name_H-M 'R -3'
_symmetry_Int_Tables_number 148
_symmetry_space_group_name_Hall '-R 3'
_cell_length_a 12.2313
_cell_length_b 12.2313
_cell_length_c 14.0588
_cell_angle_alpha 90.00
_cell_angle_beta 90.00
_cell_angle_gamma 120.00
loop_
_atom_site_label
_atom_site_fract_x
_atom_site_fract_y
_atom_site_fract_z
Pr1 0.0513 0.8405 0.4027
Pr2 0.0679 0.1877 0.8344
Tl1 0.0140 0.4265 0.7158
Zn1 0.0000 0.0000 0.0000
```

Properties
Formation energy from the elements (meV per atom): -183



Mg2BeIn: relaxed, PBE-GGA.

CIF file:
```
data_Mg2BeIn
_symmetry_space_group_name_H-M 'R -3 m'
_symmetry_Int_Tables_number 166
_symmetry_space_group_name_Hall '-R 3 2"'
_cell_length_a 3.2216
_cell_length_b 3.2216
_cell_length_c 26.8442
_cell_angle_alpha 90.00
_cell_angle_beta 90.00
_cell_angle_gamma 120.00
loop_
_atom_site_label
_atom_site_fract_x
_atom_site_fract_y
_atom_site_fract_z
Mg1 0.0000 0.0000 0.2371
Be1 0.0000 0.0000 0.5000
In1 0.0000 0.0000 0.0000
```

Properties
Formation energy from the elements (meV per atom): 245



OsC3I: relaxed, PBE-GGA.

CIF file:
```
data_OsC3I
_symmetry_space_group_name_H-M 'P m -3 m'
_symmetry_Int_Tables_number 221
_symmetry_space_group_name_Hall '-P 4 2 3'
_cell_length_a 4.0345
_cell_length_b 4.0345
_cell_length_c 4.0345
_cell_angle_alpha 90.00
_cell_angle_beta 90.00
_cell_angle_gamma 90.00
loop_
_atom_site_label
_atom_site_fract_x
_atom_site_fract_y
_atom_site_fract_z
Os1 0.0000 0.0000 0.0000
C1 0.0000 0.5000 0.5000
I1 0.5000 0.5000 0.5000
```

Properties
Formation energy without anion corrections (kcal/mol of atoms): 89.481



CdH2Rh: relaxed, PBE-GGA.

CIF file:
```
data_CdH2Rh
_symmetry_space_group_name_H-M 'I -4 2 d'
_symmetry_Int_Tables_number 122
_symmetry_space_group_name_Hall 'I -4 2bw'
_cell_length_a 4.1943
_cell_length_b 4.1943
_cell_length_c 9.7673
_cell_angle_alpha 90.00
_cell_angle_beta 90.00
_cell_angle_gamma 90.00
loop_
_atom_site_label
_atom_site_fract_x
_atom_site_fract_y
_atom_site_fract_z
Cd1 0.0000 0.0000 0.0000
H1 0.1373 0.2500 0.6250
Rh1 0.0000 0.0000 0.5000
```

Properties
DFT total energy (eV/atom): -3.75



BaLi2GeS4: relaxed, PBE-GGA.

CIF file:
```
data_BaLi2GeS4
_symmetry_space_group_name_H-M 'I -4 2 m'
_symmetry_Int_Tables_number 121
_symmetry_space_group_name_Hall 'I -4 2'
_cell_length_a 6.6970
_cell_length_b 6.6970
_cell_length_c 8.2228
_cell_angle_alpha 90.00
_cell_angle_beta 90.00
_cell_angle_gamma 90.00
loop_
_atom_site_label
_atom_site_fract_x
_atom_site_fract_y
_atom_site_fract_z
Ba1 0.0000 0.0000 0.0000
Li1 0.0000 0.5000 0.2500
Ge1 0.0000 0.0000 0.5000
S1 0.1919 0.1919 0.6594
```

Properties
Formation energy without anion corrections (kcal/mol of atoms): -29.005



Here are the calculated total magnetization numbers, same order: 0.00, 0.00, 0.00, 0.80, 0.00, 0.00 (μB/cell).